TcTeS (PBE-GGA, optimized geometry); space-group type = P2_1/c; calculated volume = 287 Å³/cell; E = -6.03 eV per atom; E_form (uncorrected) = -0.15 eV/atom
1.0
5.7409 0.0000 0.0000
0.0000 9.4451 1.0989
0.0000 -2.9577 4.9535
Tc Te S
4 4 4
direct
0.3250 0.0482 0.1877
0.1750 0.0482 0.6877
0.6750 0.9518 0.8123
0.8250 0.9518 0.3123
0.8347 0.6784 0.8131
0.1653 0.3216 0.1869
0.3347 0.3216 0.6869
0.6653 0.6784 0.3131
0.3028 0.8519 0.7887
0.1972 0.8519 0.2887
0.8028 0.1481 0.7113
0.6972 0.1481 0.2113

=====

CoTcPt2 (PBE-GGA, optimized geometry); space-group type = R3m; calculated volume = 57 Å³/cell; E = -7.44 eV per atom; energy of formation = -51 meV per atom; distance to the lowest polymorph of the same formula = 0.0500 eV per atom
1.0
9.0141 -0.0054 -0.0031
8.6037 2.6888 -0.0031
8.6037 1.3105 2.3478
Tc Pt Co
1 2 1
direct
0.4945 0.4945 0.4945
0.0056 0.0056 0.0056
0.2469 0.2469 0.2469
0.7531 0.7531 0.7531

=====

VTcN (PBE-GGA, optimized geometry); space-group type = P3m1; calculated volume = 34 Å³/cell; E = -9.60 eV per atom; distance to the lowest polymorph of the same formula = 0.3865 eV per atom; E_form (uncorrected) = -0.33 eV/atom
1.0
-0.8500 -0.9795 4.1926
1.6615 -2.4793 -0.2424
1.2673 2.5736 0.8582
Tc N V
1 1 1
direct
0.0703 0.0000 0.0000
0.3633 0.6667 0.3333
0.5664 0.3333 0.6667

=====

Zn2SbOs (PBE-GGA, optimized geometry); space-group type = Cmm2; calculated volume = 75 Å³/cell; E = -3.99 eV per atom; E_form (uncorrected) = 0.49 eV/atom
1.0
2.9606 0.0042 0.0000
-1.4192 2.5983 0.0000
0.0000 0.0000 9.7958
Zn Os Sb
2 1 1
direct
0.0000 0.0000 0.0419
0.5000 0.5000 0.2672
0.0000 0.0000 0.4823
0.5000 0.5000 0.7085

=====

La6Ga2N (PBE-GGA, optimized geometry); space-group type = P2_1/c; calculated volume = 515 Å³/cell; E = -5.40 eV per atom; distance to the lowest polymorph of the same formula = 0.0000 eV per atom; E_form (uncorrected) = -0.52 eV/atom
1.0
-2.0081 -3.6430 -5.7856
6.7766 -2.0299 -1.0739
-1.5565 -8.2013 5.6798
La Ga N
12 4 2
direct
0.7534 0.2439 0.5230
0.2443 0.2463 0.4774
0.5440 0.5004 0.2444
0.0440 0.9996 0.7444
0.7466 0.7439 0.9770
0.4560 0.4996 0.7556
0.2534 0.2561 0.0230
0.7557 0.7537 0.5226
0.2466 0.7561 0.4770
0.2557 0.7463 0.0226
0.9560 0.0004 0.2556
0.7443 0.2537 0.9774
0.4963 0.0009 0.2497
0.5037 0.9991 0.7503
0.9963 0.4991 0.7497
0.0037 0.5009 0.2503
0.0000 0.0000 0.5000
0.5000 0.5000 0.0000

=====

LaSmH8Ir2 (PBE-GGA, optimized geometry); space-group type = R-3; calculated volume = 130 Å³/cell; E = -4.81 eV per atom
1.0
-4.1064 2.0755 1.6241
-3.0769 -2.5459 2.8034
0.6542 1.8386 6.6341
H Ir Sm La
8 2 1 1
direct
0.8889 0.4757 0.1652
0.5243 0.5299 0.8348
0.4701 0.8889 0.1652
0.1111 0.5243 0.8348
0.8239 0.8239 0.5283
0.4757 0.4701 0.1652
0.5299 0.1111 0.8348
0.1761 0.1761 0.4717
0.2619 0.2619 0.2144
0.7381 0.7381 0.7856
0.0000 0.0000 0.0000
0.5000 0.5000 0.5000

=====

CaZr2Pb2 (PBE-GGA, optimized geometry); space-group type = P4/mbm; calculated volume = 263 Å³/cell; E = -5.44 eV per atom; energy of formation = -139 meV per atom; distance to the lowest polymorph of the same formula = 0.0000 eV per atom
1.0
8.1921 0.0000 0.0000
0.0000 8.1921 0.0000
0.0000 0.0000 3.9173
Pb Zr Ca
4 4 2
direct
0.6457 0.1457 0.0000
0.8543 0.6457 0.0000
0.1457 0.3543 0.0000
0.3543 0.8543 0.0000
0.8484 0.3484 0.5000
0.1516 0.6516 0.5000
0.6516 0.8484 0.5000
0.3484 0.1516 0.5000
0.0000 0.0000 0.0000
0.5000 0.5000 0.0000

=====

AlBiN2 (PBE-GGA, optimized geometry); space-group type = R-3m; calculated volume = 72 Å³/cell; E = -5.64 eV per atom; distance to the lowest polymorph of the same formula = 0.7534 eV per atom; E_form (uncorrected) = 0.43 eV/atom
1.0
-0.3119 6.3746 0.1394
-1.9603 5.1412 3.2369
1.7498 5.3268 3.0522
Al N Bi
1 2 1
direct
0.0000 0.0000 0.0000
0.9030 0.9030 0.9030
0.0970 0.0970 0.0970
0.5000 0.5000 0.5000

=====

Copy entry 6 word for word.
LaSmH8Ir2 (PBE-GGA, optimized geometry); space-group type = R-3; calculated volume = 130 Å³/cell; E = -4.81 eV per atom
1.0
-4.1064 2.0755 1.6241
-3.0769 -2.5459 2.8034
0.6542 1.8386 6.6341
H Ir Sm La
8 2 1 1
direct
0.8889 0.4757 0.1652
0.5243 0.5299 0.8348
0.4701 0.8889 0.1652
0.1111 0.5243 0.8348
0.8239 0.8239 0.5283
0.4757 0.4701 0.1652
0.5299 0.1111 0.8348
0.1761 0.1761 0.4717
0.2619 0.2619 0.2144
0.7381 0.7381 0.7856
0.0000 0.0000 0.0000
0.5000 0.5000 0.5000

=====

- calculated volume of number 3 (VTcN)?
  34 Å³/cell